A relaxed Sb2TeAs crystal. Source: the Alexandria database, functional GGA-PBE.

Unit cell a=7.3602 b=7.3602 c=4.4303 alpha=83.97 beta=83.97 gamma=31.25
Fractional coordinates of all 4 atoms:
1 Te 0.5360 0.5360 0.5905
2 As 0.2697 0.2697 0.1536
3 Sb 0.9438 0.9438 0.0096
4 Sb 0.7505 0.7505 0.7463

Results
Formation energy without anion corrections = 0.1101 eV per atom
ΔE to the lowest computed polymorph = 73.8 meV/atom

***

A relaxed Sb2TeAs2 crystal. Source: the Alexandria database, functional GGA-PBE.

Unit cell a=8.2210 b=8.2210 c=3.8480 alpha=90.00 beta=90.00 gamma=90.00
Fractional coordinates of all 10 atoms:
1 Sb 0.3406 0.1594 0.5000
2 Sb 0.6594 0.8406 0.5000
3 Sb 0.1594 0.6594 0.5000
4 Sb 0.8406 0.3406 0.5000
5 Te 0.5000 0.5000 0.0000
6 Te 0.0000 0.0000 0.0000
7 As 0.3278 0.8278 0.0000
8 As 0.1722 0.3278 0.0000
9 As 0.8278 0.6722 0.0000
10 As 0.6722 0.1722 0.0000

Results
Formation energy without anion corrections = 0.2597 eV per atom
ΔE to the lowest computed polymorph = 118.4 meV/atom

***

A relaxed Sb2TeAs2 crystal. Source: the Alexandria database, functional GGA-PBE.

Unit cell a=8.4521 b=8.4521 c=3.7348 alpha=90.00 beta=90.00 gamma=90.00
Fractional coordinates of all 10 atoms:
1 As 0.3468 0.1532 0.5000
2 As 0.1532 0.6532 0.5000
3 As 0.6532 0.8468 0.5000
4 As 0.8468 0.3468 0.5000
5 Sb 0.8184 0.6816 0.0000
6 Sb 0.6816 0.1816 0.0000
7 Sb 0.3184 0.8184 0.0000
8 Sb 0.1816 0.3184 0.0000
9 Te 0.0000 0.0000 0.0000
10 Te 0.5000 0.5000 0.0000

Results
Formation energy without anion corrections = 0.2631 eV per atom
ΔE to the lowest computed polymorph = 121.8 meV/atom

***

A relaxed SbTeAs crystal. Source: the Alexandria database, functional GGA-PBE.

Unit cell a=3.2944 b=5.1350 c=5.1350 alpha=120.00 beta=90.00 gamma=90.00
Fractional coordinates of all 3 atoms:
1 Sb 0.1301 0.0000 0.0000
2 Te 0.6549 0.3333 0.6667
3 As 0.2150 0.6667 0.3333

Results
Formation energy without anion corrections = 0.3259 eV per atom
ΔE to the lowest computed polymorph = 272.8 meV/atom

***

A relaxed Sb2TeAs crystal. Source: the Alexandria database, functional GGA-PBE.

Unit cell a=3.6695 b=3.6695 c=7.5709 alpha=90.00 beta=90.00 gamma=90.00
Fractional coordinates of all 4 atoms:
1 Sb 0.0000 0.0000 0.9681
2 Sb 0.0000 0.0000 0.5319
3 Te 0.5000 0.5000 0.2500
4 As 0.5000 0.5000 0.7500

Results
Formation energy without anion corrections = 0.2290 eV per atom
ΔE to the lowest computed polymorph = 192.8 meV/atom

***

A relaxed Sb2TeAs crystal. Source: the Alexandria database, functional GGA-PBE.

Unit cell a=5.2895 b=5.2922 c=5.2877 alpha=71.18 beta=69.27 gamma=108.84
Fractional coordinates of all 4 atoms:
1 As 0.5000 0.5000 0.0000
2 Sb 0.0000 0.0000 0.0000
3 Sb 0.5000 0.0000 0.5000
4 Te 0.0000 0.5000 0.5000

Results
Formation energy without anion corrections = 0.0928 eV per atom
ΔE to the lowest computed polymorph = 56.6 meV/atom

***

A relaxed SbTeAs crystal. Source: the Alexandria database, functional GGA-PBE.

Unit cell a=8.1869 b=7.9878 c=3.2654 alpha=81.80 beta=74.95 gamma=23.25
Fractional coordinates of all 3 atoms:
1 Sb 0.3549 0.3549 0.6451
2 Te 0.6605 0.6605 0.3395
3 As 0.9847 0.9847 0.0153

Results
Formation energy without anion corrections = 0.3114 eV per atom
ΔE to the lowest computed polymorph = 258.3 meV/atom

***

A relaxed Sb2TeAs crystal. Source: the Alexandria database, functional GGA-PBE.

Unit cell a=5.2408 b=5.2408 c=5.2408 alpha=60.00 beta=60.00 gamma=60.00
Fractional coordinates of all 4 atoms:
1 As 0.5000 0.5000 0.5000
2 Te 0.7500 0.7500 0.7500
3 Sb 0.0000 0.0000 0.0000
4 Sb 0.2500 0.2500 0.2500

Results
Formation energy without anion corrections = 0.2928 eV per atom
ΔE to the lowest computed polymorph = 256.6 meV/atom

***

A relaxed Sb2TeAs2 crystal. Source: the Alexandria database, functional GGA-PBE.

Unit cell a=4.2018 b=4.2018 c=8.0684 alpha=74.91 beta=74.91 gamma=90.00
Fractional coordinates of all 5 atoms:
1 Sb 0.6120 0.6120 0.7761
2 Sb 0.3880 0.3880 0.2239
3 Te 0.0000 0.0000 0.0000
4 As 0.2500 0.7500 0.5000
5 As 0.7500 0.2500 0.5000

Results
Formation energy without anion corrections = 0.2114 eV per atom
ΔE to the lowest computed polymorph = 70.1 meV/atom

***

A relaxed SbTeAs4 crystal. Source: the Alexandria database, functional GGA-PBE.

Unit cell a=5.8514 b=5.8514 c=5.8514 alpha=60.00 beta=60.00 gamma=60.00
Fractional coordinates of all 6 atoms:
1 Te 0.0000 0.0000 0.0000
2 Sb 0.7500 0.7500 0.7500
3 As 0.3616 0.9152 0.3616
4 As 0.3616 0.3616 0.3616
5 As 0.3616 0.3616 0.9152
6 As 0.9152 0.3616 0.3616

Results
Formation energy without anion corrections = 0.4980 eV per atom

***

A relaxed SbTeAs crystal. Source: the Alexandria database, functional GGA-PBE.

Unit cell a=6.1068 b=6.1068 c=6.1068 alpha=144.49 beta=144.49 gamma=51.09
Fractional coordinates of all 3 atoms:
1 Te 0.6616 0.6616 0.0000
2 As 0.9785 0.9785 0.0000
3 Sb 0.3599 0.3599 0.0000

Results
Formation energy without anion corrections = 0.2730 eV per atom
ΔE to the lowest computed polymorph = 220.0 meV/atom

***

A relaxed Sb2TeAs crystal. Source: the Alexandria database, functional GGA-PBE.

Unit cell a=4.2994 b=4.3003 c=6.3979 alpha=90.00 beta=90.00 gamma=90.00
Fractional coordinates of all 4 atoms:
1 Sb 0.5000 0.5000 0.3308
2 Sb 0.0000 0.0000 0.8829
3 As 0.5000 0.5000 0.9067
4 Te 0.0000 0.0000 0.3796

Results
Formation energy without anion corrections = 0.0714 eV per atom
ΔE to the lowest computed polymorph = 35.1 meV/atom

***

Total energy values (in eV/cell) by entry order: -15.60; -38.77; -38.74; -10.94; -15.12; -15.66; -10.98; -14.86; -19.63; -22.87; -11.09; -15.75.
V values (in A^3/atom) by entry order: 30.938; 26.006; 26.681; 25.076; 25.486; 28.485; 26.265; 25.446; 26.488; 23.611; 25.476; 29.572.
Spin magnetization values (in μB/atom) by entry order: 0.00; 0.00; 0.00; 0.00; 0.00; 0.00; 0.00; 0.00; 0.00; 0.00; 0.00; 0.00.